1.
Compound: SmDy2Hg3
Source: Alexandria
Functional: GGA-PBE
Structure: relaxed

The structure belongs to space group P4/mmm (No. 123); the cell edges are 3.744, 3.744 and 11.257 Å and the angles 90.00°, 90.00° and 90.00°. The inequivalent atoms are Sm at (0.000, 0.000, 0.000), Dy at (0.000, 0.000, 0.336), Hg at (0.500, 0.500, 0.175) and Hg at (0.500, 0.500, 0.500).

The energy of formation is -477 meV/atom.

***

2.
Compound: Sm2Dy2Hg
Source: Alexandria
Functional: GGA-PBE
Structure: relaxed

The structure belongs to space group I4/mmm (No. 139); the cell edges are 3.613, 3.613 and 23.125 Å and the angles 90.00°, 90.00° and 90.00°. The inequivalent atoms are Sm at (0.000, 0.000, 0.194), Dy at (0.000, 0.000, 0.415) and Hg at (0.000, 0.000, 0.000).

The energy above the lowest structure with this stoichiometry is 0.000 eV/atom. The energy of formation is -180 meV/atom.

***

- The lowest energy of formation belongs to which entry?
  SmDy2Hg3

***

Copy entry 1 word for word.
Compound: SmDy2Hg3
Source: Alexandria
Functional: GGA-PBE
Structure: relaxed

The structure belongs to space group P4/mmm (No. 123); the cell edges are 3.744, 3.744 and 11.257 Å and the angles 90.00°, 90.00° and 90.00°. The inequivalent atoms are Sm at (0.000, 0.000, 0.000), Dy at (0.000, 0.000, 0.336), Hg at (0.500, 0.500, 0.175) and Hg at (0.500, 0.500, 0.500).

The energy of formation is -477 meV/atom.

***

- Which of these has the lowest energy of formation?
  SmDy2Hg3